Record 1
Material: ZnCrBr4
Method: DFT, PBE
State: optimized geometry

Structure (POSCAR):
```
ZnCrBr4
1.0
0.000 4.457 4.457
4.457 0.000 4.457
4.457 4.457 0.000
Zn Cr Br
1 1 4
direct
0.000 0.000 0.000 Zn
0.250 0.250 0.250 Cr
0.125 0.625 0.625 Br
0.625 0.125 0.625 Br
0.625 0.625 0.125 Br
0.625 0.625 0.625 Br
```

Output
DOS at the Fermi energy = 1.227 states/eV/atom
crystal system = cubic
distance to the lowest polymorph of the same formula = 1.429 eV per atom

=====

Record 2
Material: Zn2CrBr
Method: DFT, PBE
State: optimized geometry

Structure (POSCAR):
```
Zn2CrBr
1.0
4.019 0.000 0.000
0.000 3.277 0.000
0.000 0.000 12.553
Zn Cr Br
4 2 2
direct
0.000 0.000 0.000 Zn
0.000 0.500 0.500 Zn
0.500 0.000 0.125 Zn
0.500 0.500 0.625 Zn
0.500 0.000 0.449 Cr
0.500 0.500 0.949 Cr
0.000 0.000 0.279 Br
0.000 0.500 0.779 Br
```

Output
DOS at the Fermi energy = 0.460 states/eV/atom
crystal system = orthorhombic
distance to the lowest polymorph of the same formula = 0.143 eV per atom

=====

Record 3
Material: ZnCr2Br
Method: DFT, PBE
State: optimized geometry

Structure (POSCAR):
```
ZnCr2Br
1.0
4.520 0.000 0.000
0.000 3.280 0.000
-2.049 0.000 5.159
Zn Cr Br
1 2 1
direct
0.000 0.000 0.000 Zn
0.000 0.000 0.500 Cr
0.500 0.500 0.000 Cr
0.500 0.500 0.500 Br
```

Output
DOS at the Fermi energy = 0.611 states/eV/atom
crystal system = monoclinic
distance to the lowest polymorph of the same formula = 0.312 eV per atom

=====

Record 4
Material: ZnCrBr2
Method: DFT, PBE
State: optimized geometry

Structure (POSCAR):
```
ZnCrBr2
1.0
3.773 0.000 0.000
-1.887 3.268 0.000
0.000 0.000 29.602
Zn Cr Br
3 3 6
direct
0.000 0.000 0.000 Zn
0.333 0.667 0.667 Zn
0.667 0.333 0.333 Zn
0.000 0.000 0.500 Cr
0.333 0.667 0.167 Cr
0.667 0.333 0.833 Cr
0.000 0.000 0.218 Br
0.000 0.000 0.782 Br
0.333 0.667 0.449 Br
0.333 0.667 0.885 Br
0.667 0.333 0.115 Br
0.667 0.333 0.551 Br
```

Output
DOS at the Fermi energy = 1.109 states/eV/atom
crystal system = trigonal
distance to the lowest polymorph of the same formula = 0.037 eV per atom

=====

Record 5
Material: ZnCrBr2
Method: DFT, PBE
State: optimized geometry

Structure (POSCAR):
```
ZnCrBr2
1.0
4.257 0.000 0.000
0.000 3.574 0.000
-1.238 0.000 9.043
Zn Cr Br
1 1 2
direct
0.000 0.000 0.000 Zn
0.500 0.000 0.500 Cr
0.365 0.500 0.673 Br
0.635 0.500 0.327 Br
```

Output
DOS at the Fermi energy = 0.035 states/eV/atom
crystal system = monoclinic
distance to the lowest polymorph of the same formula = 0.047 eV per atom

=====

Record 6
Material: ZnCrBr2
Method: DFT, PBE
State: optimized geometry

Structure (POSCAR):
```
ZnCrBr2
1.0
3.606 0.000 0.000
0.000 7.444 0.000
0.000 0.000 10.443
Zn Cr Br
2 2 4
direct
0.000 0.000 0.000 Zn
0.500 0.500 0.000 Zn
0.000 0.000 0.500 Cr
0.500 0.500 0.500 Cr
0.000 0.500 0.333 Br
0.000 0.500 0.667 Br
0.500 0.000 0.333 Br
0.500 0.000 0.667 Br
```

Output
DOS at the Fermi energy = 0.004 states/eV/atom
crystal system = orthorhombic
distance to the lowest polymorph of the same formula = 0.048 eV per atom

=====

Record 7
Material: Zr3CrBr
Method: DFT, PBE
State: optimized geometry

Structure (POSCAR):
```
Zr3CrBr
1.0
4.929 0.000 0.000
0.000 4.929 0.000
0.000 0.000 4.929
Zr Cr Br
3 1 1
direct
0.000 0.000 0.500 Zr
0.000 0.500 0.000 Zr
0.500 0.000 0.000 Zr
0.000 0.000 0.000 Cr
0.500 0.500 0.500 Br
```

Output
DOS at the Fermi energy = 1.496 states/eV/atom
crystal system = cubic
distance to the lowest polymorph of the same formula = 0.000 eV per atom

=====

Record 8
Material: ZrCrBr
Method: DFT, PBE
State: optimized geometry

Structure (POSCAR):
```
ZrCrBr
1.0
3.372 0.000 0.000
-1.686 2.920 0.000
0.000 0.000 6.851
Zr Cr Br
1 1 1
direct
0.000 0.000 0.000 Zr
0.333 0.667 0.700 Cr
0.667 0.333 0.294 Br
```

Output
DOS at the Fermi energy = 0.713 states/eV/atom
crystal system = trigonal
distance to the lowest polymorph of the same formula = 0.000 eV per atom

=====

Record 9
Material: ZrCrBr
Method: DFT, PBE
State: optimized geometry

Structure (POSCAR):
```
ZrCrBr
1.0
4.380 0.000 0.000
-2.190 3.793 0.000
0.000 0.000 3.212
Zr Cr Br
1 1 1
direct
0.000 0.000 0.000 Zr
0.667 0.333 0.500 Cr
0.333 0.667 0.500 Br
```

Output
DOS at the Fermi energy = 0.728 states/eV/atom
crystal system = hexagonal
distance to the lowest polymorph of the same formula = 0.324 eV per atom

=====

Record 10
Material: ZrCrBr4
Method: DFT, PBE
State: optimized geometry

Structure (POSCAR):
```
ZrCrBr4
1.0
0.000 4.321 4.321
4.321 0.000 4.321
4.321 4.321 0.000
Zr Cr Br
1 1 4
direct
0.000 0.000 0.000 Zr
0.250 0.250 0.250 Cr
0.125 0.625 0.625 Br
0.625 0.125 0.625 Br
0.625 0.625 0.125 Br
0.625 0.625 0.625 Br
```

Output
DOS at the Fermi energy = 1.606 states/eV/atom
crystal system = cubic
energy = -3.271 eV/atom

=====

Record 11
Material: ZrCr3Br
Method: DFT, PBE
State: optimized geometry

Structure (POSCAR):
```
ZrCr3Br
1.0
4.392 0.000 0.000
0.000 4.392 0.000
0.000 0.000 4.392
Zr Cr Br
1 3 1
direct
0.000 0.000 0.000 Zr
0.000 0.500 0.500 Cr
0.500 0.000 0.500 Cr
0.500 0.500 0.000 Cr
0.500 0.500 0.500 Br
```

Output
DOS at the Fermi energy = 0.646 states/eV/atom
crystal system = cubic
distance to the lowest polymorph of the same formula = 0.000 eV per atom

=====

Record 12
Material: ZrCrBr
Method: DFT, PBE
State: optimized geometry

Structure (POSCAR):
```
ZrCrBr
1.0
3.241 0.000 0.000
0.000 3.241 0.000
0.000 0.000 12.621
Zr Cr Br
2 2 2
direct
0.000 0.000 0.000 Zr
0.500 0.500 0.500 Zr
0.000 0.000 0.360 Cr
0.500 0.500 0.860 Cr
0.000 0.000 0.653 Br
0.500 0.500 0.153 Br
```

Output
DOS at the Fermi energy = 0.667 states/eV/atom
crystal system = tetragonal
distance to the lowest polymorph of the same formula = 0.093 eV per atom

=====

Record 13
Material: ZrCrBr
Method: DFT, PBE
State: optimized geometry

Structure (POSCAR):
```
ZrCrBr
1.0
6.325 0.000 0.000
0.000 6.325 0.000
0.000 0.000 6.325
Zr Cr Br
4 4 4
direct
0.000 0.000 0.000 Zr
0.000 0.500 0.500 Zr
0.500 0.000 0.500 Zr
0.500 0.500 0.000 Zr
0.000 0.000 0.500 Cr
0.000 0.500 0.000 Cr
0.500 0.000 0.000 Cr
0.500 0.500 0.500 Cr
0.250 0.250 0.250 Br
0.250 0.750 0.750 Br
0.750 0.250 0.750 Br
0.750 0.750 0.250 Br
```

Output
DOS at the Fermi energy = 0.511 states/eV/atom
crystal system = cubic
distance to the lowest polymorph of the same formula = 0.616 eV per atom

=====

Record 14
Material: ZrCrBr
Method: DFT, PBE
State: optimized geometry

Structure (POSCAR):
```
ZrCrBr
1.0
6.600 0.000 0.000
0.000 6.600 0.000
0.000 0.000 6.600
Zr Cr Br
4 4 4
direct
0.000 0.000 0.000 Zr
0.000 0.500 0.500 Zr
0.500 0.000 0.500 Zr
0.500 0.500 0.000 Zr
0.250 0.250 0.750 Cr
0.250 0.750 0.250 Cr
0.750 0.250 0.250 Cr
0.750 0.750 0.750 Cr
0.250 0.250 0.250 Br
0.250 0.750 0.750 Br
0.750 0.250 0.750 Br
0.750 0.750 0.250 Br
```

Output
DOS at the Fermi energy = 1.113 states/eV/atom
crystal system = cubic
distance to the lowest polymorph of the same formula = 0.816 eV per atom

=====

Record 15
Material: ZrCr3Br
Method: DFT, PBE
State: optimized geometry

Structure (POSCAR):
```
ZrCr3Br
1.0
4.993 0.000 0.000
0.000 4.993 0.000
0.000 0.000 4.993
Zr Cr Br
1 3 1
direct
0.000 0.000 0.000 Zr
0.000 0.000 0.500 Cr
0.000 0.500 0.000 Cr
0.500 0.000 0.000 Cr
0.500 0.500 0.500 Br
```

Output
DOS at the Fermi energy = 1.466 states/eV/atom
crystal system = cubic
distance to the lowest polymorph of the same formula = 0.605 eV per atom